Entry 1:
BaV2CrNi: optimized geometry, PBE-GGA. Values from VASP.

**Spin magnetization**: 2.6 μB per formula unit
**Calculated total energy**: -31.410 eV/cell
**Energy of formation**: 0.831 eV/atom

The structure in Quantum ESPRESSO input format:
```
&SYSTEM
  ibrav = 0, nat = 5, ntyp = 4
/
ATOMIC_SPECIES
Ba 137.33 Ba.upf
V 50.94 V.upf
Cr 52.00 Cr.upf
Ni 58.69 Ni.upf
CELL_PARAMETERS angstrom
4.5372 0.0000 0.0000
0.0000 4.5372 0.0000
0.0000 0.0000 4.8849
ATOMIC_POSITIONS angstrom
Ba 0.0000 0.0000 0.0000
V 0.0000 2.2686 2.4424
V 2.2686 0.0000 2.4424
Cr 2.2686 2.2686 2.4424
Ni 2.2686 2.2686 0.0000
```

Entry 2:
Ti2AlCo4: optimized geometry, PBE-GGA. Values from VASP.

**Spin magnetization**: 0.0 μB per formula unit
**Calculated total energy**: -49.315 eV/cell
**Energy of formation**: -0.194 eV/atom

The structure in Quantum ESPRESSO input format:
```
&SYSTEM
  ibrav = 0, nat = 7, ntyp = 3
/
ATOMIC_SPECIES
Ti 47.87 Ti.upf
Al 26.98 Al.upf
Co 58.93 Co.upf
CELL_PARAMETERS angstrom
2.0116 1.1614 6.5546
-2.0116 1.1614 6.5546
0.0000 -2.3228 6.5546
ATOMIC_POSITIONS angstrom
Ti 0.0000 0.0000 4.8504
Ti 0.0000 0.0000 14.8134
Al 0.0000 0.0000 0.0000
Co 0.0000 0.0000 2.4798
Co 0.0000 0.0000 7.3960
Co 0.0000 0.0000 12.2678
Co 0.0000 0.0000 17.1840
```

Entry 3:
Re3BPb: optimized geometry, PBE-GGA. Values from VASP.

**Spin magnetization**: 0.0 μB per formula unit
**Calculated total energy**: -44.143 eV/cell
**Energy of formation**: 0.717 eV/atom
**Offset from the most stable computed form**: 0 meV per atom

The structure in Quantum ESPRESSO input format:
```
&SYSTEM
  ibrav = 0, nat = 5, ntyp = 3
/
ATOMIC_SPECIES
Re 186.21 Re.upf
B 10.81 B.upf
Pb 207.20 Pb.upf
CELL_PARAMETERS angstrom
4.2439 0.0000 0.0000
0.0000 4.2439 0.0000
0.0000 0.0000 4.2439
ATOMIC_POSITIONS angstrom
Re 0.0000 0.0000 2.1220
Re 0.0000 2.1220 0.0000
Re 2.1220 0.0000 0.0000
B 0.0000 0.0000 0.0000
Pb 2.1220 2.1220 2.1220
```

Entry 4:
TlPd3C: optimized geometry, PBE-GGA. Values from VASP.

**Spin magnetization**: 1.9 μB per formula unit
**Calculated total energy**: -15.990 eV/cell
**Energy of formation**: 2.236 eV/atom
**Offset from the most stable computed form**: 2034 meV per atom

The structure in Quantum ESPRESSO input format:
```
&SYSTEM
  ibrav = 0, nat = 5, ntyp = 3
/
ATOMIC_SPECIES
Tl 204.38 Tl.upf
Pd 106.42 Pd.upf
C 12.01 C.upf
CELL_PARAMETERS angstrom
5.1052 0.0000 0.0000
0.0000 5.1052 0.0000
0.0000 0.0000 5.1052
ATOMIC_POSITIONS angstrom
Tl 0.0000 0.0000 0.0000
Pd 0.0000 0.0000 2.5526
Pd 0.0000 2.5526 0.0000
Pd 2.5526 0.0000 0.0000
C 2.5526 2.5526 2.5526
```

Entry 5:
NdAgPd6: optimized geometry, PBE-GGA. Values from VASP.

**Spin magnetization**: 0.0 μB per formula unit
**Calculated total energy**: -40.433 eV/cell
**Energy of formation**: -0.207 eV/atom
**Offset from the most stable computed form**: 157 meV per atom

The structure in Quantum ESPRESSO input format:
```
&SYSTEM
  ibrav = 0, nat = 8, ntyp = 3
/
ATOMIC_SPECIES
Nd 144.24 Nd.upf
Ag 107.87 Ag.upf
Pd 106.42 Pd.upf
CELL_PARAMETERS angstrom
5.2254 0.0000 0.0000
0.0000 5.2254 0.0000
0.0000 0.0000 5.2254
ATOMIC_POSITIONS angstrom
Nd 0.0000 0.0000 0.0000
Ag 2.6127 2.6127 2.6127
Pd 0.0000 1.3342 2.6127
Pd 0.0000 3.8912 2.6127
Pd 1.3342 2.6127 0.0000
Pd 2.6127 0.0000 1.3342
Pd 2.6127 0.0000 3.8912
Pd 3.8912 2.6127 0.0000
```

Entry 6:
TeWAu2: optimized geometry, PBE-GGA. Values from VASP.

**Spin magnetization**: 0.0 μB per formula unit
**Calculated total energy**: -20.815 eV/cell
**E_form (uncorrected)**: 0.459 eV per atom

The structure in Quantum ESPRESSO input format:
```
&SYSTEM
  ibrav = 0, nat = 4, ntyp = 3
/
ATOMIC_SPECIES
Te 127.60 Te.upf
W 183.84 W.upf
Au 196.97 Au.upf
CELL_PARAMETERS angstrom
2.9613 0.0000 0.0000
0.0000 2.9613 0.0000
0.0000 0.0000 9.3546
ATOMIC_POSITIONS angstrom
Te 0.0000 0.0000 0.0000
W 0.0000 0.0000 4.6773
Au 1.4806 1.4806 2.7548
Au 1.4806 1.4806 6.5998
```

Entry 7:
Rb2HfZr2Te6: optimized geometry, PBE-GGA. Values from VASP.

**Spin magnetization**: 0.0 μB per formula unit
**Calculated total energy**: -58.355 eV/cell
**E_form (uncorrected)**: -0.956 eV per atom

The structure in Quantum ESPRESSO input format:
```
&SYSTEM
  ibrav = 0, nat = 11, ntyp = 4
/
ATOMIC_SPECIES
Rb 85.47 Rb.upf
Hf 178.49 Hf.upf
Zr 91.22 Zr.upf
Te 127.60 Te.upf
CELL_PARAMETERS angstrom
3.5375 -6.1340 0.0000
3.5375 6.1340 0.0000
-2.4223 0.0000 8.9802
ATOMIC_POSITIONS angstrom
Rb 3.5375 4.0820 0.0000
Rb 3.5375 -4.0820 0.0000
Hf -1.2112 0.0000 4.4901
Zr 2.3264 2.0728 4.4901
Zr 2.3264 -2.0728 4.4901
Te -0.0314 1.9966 6.2458
Te 1.1474 0.0000 2.7543
Te -0.0314 -1.9966 6.2458
Te 4.6841 1.9966 2.7345
Te 3.5054 0.0000 6.2259
Te 4.6841 -1.9966 2.7345
```

Entry 8:
La8CoAgRh2: optimized geometry, PBE-GGA. Values from VASP.

**Spin magnetization**: 0.0 μB per formula unit
**Calculated total energy**: -67.551 eV/cell
**Energy of formation**: -0.289 eV/atom

The structure in Quantum ESPRESSO input format:
```
&SYSTEM
  ibrav = 0, nat = 12, ntyp = 4
/
ATOMIC_SPECIES
La 138.91 La.upf
Co 58.93 Co.upf
Ag 107.87 Ag.upf
Rh 102.91 Rh.upf
CELL_PARAMETERS angstrom
6.4934 0.0000 0.0000
0.0000 8.7361 0.0000
-0.3535 0.0000 6.9367
ATOMIC_POSITIONS angstrom
La 0.6379 0.0000 1.8570
La 0.8234 4.3681 1.7980
La 2.1721 2.4447 5.1969
La 2.1721 6.2914 5.1969
La 3.9679 2.4447 1.7398
La 3.9679 6.2914 1.7398
La 5.3166 4.3681 5.1387
La 5.5020 0.0000 5.0797
Co 3.2467 4.3681 0.0000
Ag 3.2467 0.0000 0.0000
Rh -0.1767 2.1886 3.4684
Rh -0.1767 6.5475 3.4684
```

| no. | volume (A^3/atom) | calculated density (kg/m³) |
| --- | --- | --- |
| 1 | 20.11 | 5778 |
| 2 | 13.13 | 6478 |
| 3 | 15.29 | 16872 |
| 4 | 26.61 | 6685 |
| 5 | 17.83 | 10366 |
| 6 | 20.51 | 14279 |
| 7 | 35.43 | 5528 |
| 8 | 32.79 | 6262 |